DFT (SCAN) results for a crystal of Cd2SeCl relaxed with PBEsol.

Geometry as extended XYZ:
```
4
Lattice="-2.0162 1.6316 2.0421 0.0028 -3.1351 1.0338 6.7193 1.7362 5.2469" Properties=species:S:1:pos:R:3 pbc="T T T"
Cl 3.7017 0.9565 2.8906
Se 0.3979 -0.3888 2.6348
Cd 6.7139 1.7348 5.2427
Cd 3.9713 0.5345 5.4252
```

Summary:
Total energy: -89.86 eV per cell
Offset from the most stable computed form: 0 meV per atom
Density: 6.182 g/cm3
Magnetization: 0.0 μB/cell
Calculated volume: 91.12 Å³ per cell
Formation energy from raw total energies: -0.24 eV per atom